# 1
PaTcSbRh PBE optimized geometry; energy relative to the elements, uncorrected = -275 meV per atom; SG = F-43m (216)
1.0
0.000 3.380 3.380
3.380 0.000 3.380
3.380 3.380 0.000
Pa Tc Sb Rh
1 1 1 1
Direct
0.000 0.000 0.000
0.250 0.250 0.250
0.500 0.500 0.500
0.750 0.750 0.750

# 2
ScPa2Rh6 PBE optimized geometry; SG = Immm (71)
1.0
-1.829 3.720 6.476
1.829 -3.720 6.476
1.829 3.720 -6.476
Sc Pa Rh
1 2 6
Direct
0.000 0.000 0.000
0.341 0.341 0.000
0.659 0.659 0.000
0.075 0.834 0.241
0.264 0.500 0.764
0.408 0.166 0.241
0.592 0.834 0.759
0.736 0.500 0.236
0.925 0.166 0.759

# 3
ScPaRh4 PBE optimized geometry; SG = F-43m (216); offset from the most stable computed form = 0.044 eV/atom
1.0
0.000 3.728 3.728
3.728 0.000 3.728
3.728 3.728 0.000
Sc Pa Rh
1 1 4
Direct
0.000 0.000 0.000
0.750 0.750 0.750
0.374 0.374 0.374
0.374 0.374 0.877
0.374 0.877 0.374
0.877 0.374 0.374

# 4
Sc2PaRh9 PBE optimized geometry; SG = P4/mmm (123)
1.0
3.991 0.000 0.000
0.000 3.991 0.000
0.000 0.000 11.832
Sc Pa Rh
2 1 9
Direct
0.000 0.000 0.163
0.000 0.000 0.837
0.000 0.000 0.500
0.000 0.500 0.000
0.000 0.500 0.328
0.000 0.500 0.672
0.500 0.000 0.000
0.500 0.000 0.328
0.500 0.000 0.672
0.500 0.500 0.163
0.500 0.500 0.500
0.500 0.500 0.837

# 5
ScPa2Rh5 PBE optimized geometry; SG = Pbam (55)
1.0
5.809 0.000 0.000
0.000 11.456 0.000
0.000 0.000 4.281
Sc Pa Rh
2 4 10
Direct
0.000 0.000 0.000
0.500 0.500 0.000
0.166 0.356 0.500
0.334 0.856 0.500
0.666 0.144 0.500
0.834 0.644 0.500
0.000 0.500 0.000
0.085 0.753 0.000
0.190 0.108 0.500
0.310 0.608 0.500
0.415 0.253 0.000
0.500 0.000 0.000
0.585 0.747 0.000
0.690 0.392 0.500
0.810 0.892 0.500
0.915 0.247 0.000

# 6
ScPaRh4 PBE optimized geometry; SG = Pnma (62); offset from the most stable computed form = 0.000 eV/atom
1.0
6.767 0.000 0.000
0.000 4.092 0.000
0.000 0.000 15.087
Sc Pa Rh
4 4 16
Direct
0.187 0.250 0.028
0.313 0.750 0.528
0.687 0.250 0.472
0.813 0.750 0.972
0.155 0.750 0.294
0.345 0.250 0.794
0.655 0.750 0.206
0.845 0.250 0.706
0.042 0.250 0.566
0.061 0.750 0.132
0.152 0.750 0.700
0.228 0.750 0.904
0.272 0.250 0.404
0.348 0.250 0.200
0.439 0.250 0.632
0.458 0.750 0.066
0.542 0.250 0.934
0.561 0.750 0.368
0.652 0.750 0.800
0.728 0.750 0.596
0.772 0.250 0.096
0.848 0.250 0.300
0.939 0.250 0.868
0.958 0.750 0.434

# 7
Sc2PaRh4 PBE optimized geometry; SG = R-3m (166)
1.0
2.305 1.331 7.338
-2.305 1.331 7.338
0.000 -2.662 7.338
Sc Pa Rh
2 1 4
Direct
0.236 0.236 0.236
0.764 0.764 0.764
0.000 0.000 0.000
0.117 0.117 0.117
0.375 0.375 0.375
0.625 0.625 0.625
0.883 0.883 0.883

# 8
ScPaRh2 PBE optimized geometry; SG = P4/mmm (123); offset from the most stable computed form = 0.000 eV/atom
1.0
4.753 0.000 0.000
0.000 4.753 0.000
0.000 0.000 3.346
Sc Pa Rh
1 1 2
Direct
0.000 0.000 0.000
0.500 0.500 0.000
0.000 0.500 0.500
0.500 0.000 0.500

# 9
Sc2PaRh5 PBE optimized geometry; SG = Pbam (55)
1.0
5.723 0.000 0.000
0.000 10.684 0.000
0.000 0.000 4.470
Sc Pa Rh
4 2 10
Direct
0.136 0.147 0.000
0.364 0.647 0.000
0.636 0.353 0.000
0.864 0.853 0.000
0.000 0.500 0.500
0.500 0.000 0.500
0.000 0.000 0.500
0.123 0.739 0.500
0.172 0.396 0.000
0.328 0.896 0.000
0.377 0.239 0.500
0.500 0.500 0.500
0.623 0.761 0.500
0.672 0.104 0.000
0.828 0.604 0.000
0.877 0.261 0.500

# 10
ScPa2Rh4 PBE optimized geometry; SG = Cmmm (65)
1.0
3.811 -4.393 0.000
3.811 4.393 0.000
0.000 0.000 4.104
Sc Pa Rh
1 2 4
Direct
0.000 0.000 0.000
0.296 0.704 0.500
0.704 0.296 0.500
0.000 0.500 0.000
0.234 0.234 0.500
0.500 0.000 0.000
0.766 0.766 0.500

What did we get for DFT total energy? Answer: -32.44; -74.89; -49.23; -96.81; -69.23; -49.50; -56.29; -33.69; -65.85; -60.01 eV/f.u., in the order shown.